Computed, not measured: a geometry-optimized MgFeSbPb2 structure at the GGA-PBEsol level of DFT.

```
MgFeSbPb2
1.0
5.132 0.000 0.000
0.000 5.132 0.000
0.000 0.000 4.878
Mg Fe Sb Pb
1 1 1 2
direct
0.000 0.000 0.000
0.500 0.500 0.500
0.500 0.500 0.000
0.000 0.500 0.500
0.500 0.000 0.500
```

Total magnetic moment   1.2 μB per cell
Calculated volume   25.696 Å³ per atom
Density   8.0 g/cm3
DOS at the Fermi energy   4.2 states/eV/cell
E_form (uncorrected)   0.29 eV/atom

---

Computed, not measured: a geometry-optimized MgZr2FePd structure at the GGA-PBEsol level of DFT.

```
MgZr2FePd
1.0
4.978 0.000 0.000
0.000 4.978 0.000
0.000 0.000 4.666
Mg Zr Fe Pd
1 2 1 1
direct
0.000 0.000 0.000
0.000 0.500 0.500
0.500 0.000 0.500
0.500 0.500 0.000
0.500 0.500 0.500
```

Total magnetic moment   2.1 μB per cell
Calculated volume   23.129 Å³ per atom
Density   5.3 g/cm3
DOS at the Fermi energy   6.1 states/eV/cell
Energy relative to the elements   0.636 eV per atom

---

Computed, not measured: a geometry-optimized MgFe2Pt structure at the GGA-PBEsol level of DFT.

```
MgFe2Pt
1.0
4.894 -1.450 0.000
4.894 1.450 0.000
-1.766 0.000 3.820
Mg Fe Pt
1 2 1
direct
0.000 0.000 0.000
0.244 0.244 0.743
0.756 0.756 0.257
0.500 0.500 0.500
```

Total magnetic moment   5.4 μB per cell
Calculated volume   13.555 Å³ per atom
Density   10.1 g/cm3
DOS at the Fermi energy   2.0 states/eV/cell
Energy relative to the elements   -0.071 eV per atom

---

Computed, not measured: a geometry-optimized MgFe2Pt structure at the GGA-PBEsol level of DFT.

```
MgFe2Pt
1.0
2.686 0.000 0.000
0.000 2.686 0.000
0.000 0.000 7.281
Mg Fe Pt
1 2 1
direct
0.000 0.000 0.000
0.000 0.000 0.528
0.500 0.500 0.729
0.500 0.500 0.278
```

Total magnetic moment   1.0 μB per cell
Calculated volume   13.132 Å³ per atom
Density   10.5 g/cm3
DOS at the Fermi energy   3.7 states/eV/cell
Energy relative to the elements   -0.045 eV per atom

---

Computed, not measured: a geometry-optimized MgFe2Pt structure at the GGA-PBEsol level of DFT.

```
MgFe2Pt
1.0
1.355 0.782 8.797
-1.355 0.782 8.797
0.000 -1.564 8.797
Mg Fe Pt
1 2 1
direct
0.000 0.000 0.000
0.248 0.248 0.248
0.752 0.752 0.752
0.500 0.500 0.500
```

Total magnetic moment   5.4 μB per cell
Calculated volume   13.984 Å³ per atom
Density   9.8 g/cm3
DOS at the Fermi energy   3.9 states/eV/cell
Energy relative to the elements   0.185 eV per atom

---

Computed, not measured: a geometry-optimized MgScFe2Pt structure at the GGA-PBEsol level of DFT.

```
MgScFe2Pt
1.0
4.689 0.000 0.000
0.000 4.689 0.000
0.000 0.000 4.689
Mg Sc Fe Pt
1 1 2 1
direct
0.000 0.000 0.000
0.500 0.500 0.000
0.000 0.500 0.500
0.500 0.000 0.500
0.000 0.000 0.500
```

Total magnetic moment   5.1 μB per cell
Calculated volume   20.624 Å³ per atom
Density   6.1 g/cm3
DOS at the Fermi energy   6.7 states/eV/cell
Energy relative to the elements   0.620 eV per atom

---

Computed, not measured: a geometry-optimized MgFe2Re structure at the GGA-PBEsol level of DFT.

```
MgFe2Re
1.0
1.348 0.778 8.625
-1.348 0.778 8.625
0.000 -1.557 8.625
Mg Fe Re
1 2 1
direct
0.000 0.000 0.000
0.246 0.246 0.246
0.754 0.754 0.754
0.500 0.500 0.500
```

Excess energy over the best structure of this formula in the dataset   6.2 kJ per mole of atoms
Total magnetic moment   3.9 μB per cell
Calculated volume   13.574 Å³ per atom
Density   9.9 g/cm3
DOS at the Fermi energy   4.3 states/eV/cell
Energy relative to the elements   0.324 eV per atom

---

Computed, not measured: a geometry-optimized MgFeRe2 structure at the GGA-PBEsol level of DFT.

```
MgFeRe2
1.0
2.592 -4.201 0.000
2.592 4.201 0.000
0.000 0.000 2.602
Mg Fe Re
1 1 2
direct
0.000 0.000 0.000
0.500 0.500 0.000
0.000 0.500 0.500
0.500 0.000 0.500
```

Excess energy over the best structure of this formula in the dataset   1.6 kJ per mole of atoms
Total magnetic moment   2.1 μB per cell
Calculated volume   14.167 Å³ per atom
Density   13.3 g/cm3
DOS at the Fermi energy   4.1 states/eV/cell
Energy relative to the elements   0.423 eV per atom

---

Computed, not measured: a geometry-optimized MgFe2Re structure at the GGA-PBEsol level of DFT.

```
MgFe2Re
1.0
-1.554 2.123 3.900
1.554 -2.123 3.900
1.554 2.123 -3.900
Mg Fe Re
1 2 1
direct
0.000 0.000 0.000
0.261 0.761 0.500
0.739 0.239 0.500
0.500 0.500 0.000
```

Excess energy over the best structure of this formula in the dataset   13.3 kJ per mole of atoms
Total magnetic moment   2.4 μB per cell
Calculated volume   12.865 Å³ per atom
Density   10.4 g/cm3
DOS at the Fermi energy   3.7 states/eV/cell
Energy relative to the elements   0.398 eV per atom

---

Computed, not measured: a geometry-optimized MgFe2Re structure at the GGA-PBEsol level of DFT.

```
MgFe2Re
1.0
-1.380 2.152 4.366
1.380 -2.152 4.366
1.380 2.152 -4.366
Mg Fe Re
1 2 1
direct
0.000 0.000 0.000
0.265 0.765 0.500
0.487 0.487 0.000
0.722 0.222 0.500
```

Excess energy over the best structure of this formula in the dataset   0.0 kJ per mole of atoms
Total magnetic moment   3.1 μB per cell
Calculated volume   12.960 Å³ per atom
Density   10.3 g/cm3
DOS at the Fermi energy   4.1 states/eV/cell
Energy relative to the elements   0.260 eV per atom

---

Computed, not measured: a geometry-optimized MgFeRe2 structure at the GGA-PBEsol level of DFT.

```
MgFeRe2
1.0
3.015 0.000 0.000
0.000 3.015 0.000
0.000 0.000 6.405
Mg Fe Re
1 1 2
direct
0.000 0.000 0.000
0.000 0.000 0.500
0.500 0.500 0.296
0.500 0.500 0.704
```

Excess energy over the best structure of this formula in the dataset   0.0 kJ per mole of atoms
Total magnetic moment   2.1 μB per cell
Calculated volume   14.554 Å³ per atom
Density   12.9 g/cm3
DOS at the Fermi energy   3.0 states/eV/cell
Energy relative to the elements   0.407 eV per atom

---

Computed, not measured: a geometry-optimized MgFeRh2 structure at the GGA-PBEsol level of DFT.

```
MgFeRh2
1.0
3.007 0.000 0.000
0.000 3.007 0.000
0.000 0.000 6.117
Mg Fe Rh
1 1 2
direct
0.000 0.000 0.000
0.000 0.000 0.500
0.500 0.500 0.269
0.500 0.500 0.731
```

Total magnetic moment   4.4 μB per cell
Calculated volume   13.828 Å³ per atom
Density   8.6 g/cm3
DOS at the Fermi energy   1.8 states/eV/cell
Energy relative to the elements   -0.223 eV per atom

---

Computed, not measured: a geometry-optimized MgFe2Rh structure at the GGA-PBEsol level of DFT.

```
MgFe2Rh
1.0
1.340 0.774 8.668
-1.340 0.774 8.668
0.000 -1.548 8.668
Mg Fe Rh
1 2 1
direct
0.000 0.000 0.000
0.246 0.246 0.246
0.754 0.754 0.754
0.500 0.500 0.500
```

Total magnetic moment   5.4 μB per cell
Calculated volume   13.484 Å³ per atom
Density   7.4 g/cm3
DOS at the Fermi energy   5.3 states/eV/cell
Energy relative to the elements   0.258 eV per atom

---

Computed, not measured: a geometry-optimized MgFe2Rh structure at the GGA-PBEsol level of DFT.

```
MgFe2Rh
1.0
3.672 0.000 0.000
0.000 3.672 0.000
0.000 0.000 3.954
Mg Fe Rh
1 2 1
direct
0.000 0.000 0.000
0.000 0.500 0.500
0.500 0.000 0.500
0.500 0.500 0.000
```

Total magnetic moment   6.1 μB per cell
Calculated volume   13.326 Å³ per atom
Density   7.4 g/cm3
DOS at the Fermi energy   3.2 states/eV/cell
Energy relative to the elements   0.081 eV per atom

---

Computed, not measured: a geometry-optimized MgFeRu2 structure at the GGA-PBEsol level of DFT.

```
MgFeRu2
1.0
4.617 -1.376 0.000
4.617 1.376 0.000
-1.365 0.000 4.318
Mg Fe Ru
1 1 2
direct
0.000 0.000 0.000
0.500 0.500 0.500
0.225 0.225 0.721
0.775 0.775 0.279
```

Total magnetic moment   2.3 μB per cell
Calculated volume   13.714 Å³ per atom
Density   8.5 g/cm3
DOS at the Fermi energy   4.1 states/eV/cell
Energy relative to the elements   0.219 eV per atom

---

Computed, not measured: a geometry-optimized Mg2FeRu structure at the GGA-PBEsol level of DFT.

```
Mg2FeRu
1.0
-1.539 2.244 4.446
1.539 -2.244 4.446
1.539 2.244 -4.446
Mg Fe Ru
2 1 1
direct
0.000 0.000 0.000
0.722 0.222 0.500
0.463 0.463 0.000
0.260 0.760 0.500
```

Excess energy over the best structure of this formula in the dataset   8.9 kJ per mole of atoms
Total magnetic moment   2.9 μB per cell
Calculated volume   15.352 Å³ per atom
Density   5.6 g/cm3
DOS at the Fermi energy   2.9 states/eV/cell
Energy relative to the elements   0.201 eV per atom

---

Computed, not measured: a geometry-optimized MgFeRu2 structure at the GGA-PBEsol level of DFT.

```
MgFeRu2
1.0
2.674 0.000 0.000
0.000 4.178 0.000
-0.919 0.000 4.901
Mg Fe Ru
1 1 2
direct
0.000 0.000 0.000
0.500 0.000 0.500
0.316 0.500 0.735
0.684 0.500 0.265
```

Total magnetic moment   2.9 μB per cell
Calculated volume   13.691 Å³ per atom
Density   8.6 g/cm3
DOS at the Fermi energy   4.2 states/eV/cell
Energy relative to the elements   0.272 eV per atom

---

Computed, not measured: a geometry-optimized MgFeRu2 structure at the GGA-PBEsol level of DFT.

```
MgFeRu2
1.0
-1.398 2.213 4.447
1.398 -2.213 4.447
1.398 2.213 -4.447
Mg Fe Ru
1 1 2
direct
0.000 0.000 0.000
0.500 0.500 0.000
0.278 0.778 0.500
0.722 0.222 0.500
```

Total magnetic moment   2.5 μB per cell
Calculated volume   13.754 Å³ per atom
Density   8.5 g/cm3
DOS at the Fermi energy   3.6 states/eV/cell
Energy relative to the elements   0.221 eV per atom

---

Computed, not measured: a geometry-optimized MgFe4Ru structure at the GGA-PBEsol level of DFT.

```
MgFe4Ru
1.0
0.000 3.324 3.324
3.324 0.000 3.324
3.324 3.324 0.000
Mg Fe Ru
1 4 1
direct
0.000 0.000 0.000
0.127 0.624 0.624
0.624 0.127 0.624
0.624 0.624 0.127
0.624 0.624 0.624
0.250 0.250 0.250
```

Total magnetic moment   8.6 μB per cell
Calculated volume   12.246 Å³ per atom
Density   7.9 g/cm3
DOS at the Fermi energy   6.0 states/eV/cell
Energy relative to the elements   0.134 eV per atom

---

Computed, not measured: a geometry-optimized MgFeRu2 structure at the GGA-PBEsol level of DFT.

```
MgFeRu2
1.0
1.351 0.780 8.574
-1.351 0.780 8.574
0.000 -1.560 8.574
Mg Fe Ru
1 1 2
direct
0.000 0.000 0.000
0.500 0.500 0.500
0.244 0.244 0.244
0.756 0.756 0.756
```

Total magnetic moment   1.9 μB per cell
Calculated volume   13.561 Å³ per atom
Density   8.6 g/cm3
DOS at the Fermi energy   4.5 states/eV/cell
Energy relative to the elements   0.230 eV per atom